# 1
Compound: Li4CdAu5
Source: Alexandria
Functional: PBE
Structure: relaxed

Calculated values
formation enthalpy at 0 K	-469	meV per atom
density of states at the Fermi level	3.1	states/eV/cell

Cell lengths 3.2494, 3.2494, 15.3432 Å; angles 90.00, 90.00, 90.00 degrees
With the nearest neighbours (Å) after each atom.
Space group P4/mmm (No. 123)
Symmetry-distinct sites (fractional):
Li 0.0000 0.0000 0.0952 (multiplicity 2)  8 Au 2.71-2.72, 2 Li 2.92-2.95
Li 0.0000 0.0000 0.2875 (multiplicity 2)  8 Au 2.70-2.75, 1 Li 2.95
Cd 0.0000 0.0000 0.5000 (multiplicity 1)  8 Au 2.95, 4 Cd 3.25, 2 Li 3.26
Au 0.5000 0.5000 0.0000 (multiplicity 1)  8 Li 2.72, 2 Au 2.91
Au 0.5000 0.5000 0.1894 (multiplicity 2)  8 Li 2.71-2.75, 2 Au 2.91-2.92
Au 0.5000 0.5000 0.3796 (multiplicity 2)  4 Li 2.70, 1 Au 2.92, 4 Cd 2.95


# 2
Compound: Si3HRu
Source: Alexandria
Functional: PBE
Structure: relaxed

Calculated values
density of states at the Fermi level	2.0	states/eV/cell
polymorph energy (0 for the lowest one)	0.0	meV per atom

Cell lengths 3.8529, 3.8529, 3.8529 Å; angles 90.00, 90.00, 90.00 degrees
With the nearest neighbours (Å) after each atom.
Space group Pm-3m (No. 221)
Symmetry-distinct sites (fractional):
Si 0.0000 0.0000 0.5000 (multiplicity 3)  2 H 1.93
H 0.0000 0.0000 0.0000 (multiplicity 1)  6 Si 1.93
Ru 0.5000 0.5000 0.5000 (multiplicity 1)  12 Si 2.72


# 3
Compound: Tb3Pm4Y8
Source: Alexandria
Functional: PBE
Structure: relaxed

Calculated values
formation enthalpy at 0 K	371	meV per atom
density of states at the Fermi level	62.4	states/eV/cell
polymorph energy (0 for the lowest one)	241.6	meV per atom

Cell lengths 13.5069, 12.8750, 6.7884 Å; angles 90.00, 120.09, 90.00 degrees
With the nearest neighbours (Å) after each atom.
Space group C2/m (No. 12)
Symmetry-distinct sites (fractional):
Tb 0.0000 0.0000 0.0000 (multiplicity 2)  6 Y 3.17-3.24
Tb 0.2500 0.2500 0.5000 (multiplicity 4)  4 Y 3.22-3.38, 2 Pm 3.39
Pm 0.0000 0.5000 0.0000 (multiplicity 2)  6 Y 3.27-3.53, 2 Pm 3.39
Pm 0.0000 0.5000 0.5000 (multiplicity 2)  2 Pm 3.39, 4 Y 3.56-3.62
Pm 0.2500 0.2500 0.0000 (multiplicity 4)  4 Y 3.23-3.38, 2 Tb 3.39
Y 0.0000 0.1411 0.5000 (multiplicity 4)  7 Y 3.63-3.68, 4 Tb 3.66-3.85, 2 Pm 3.66
Y 0.0000 0.2460 0.0000 (multiplicity 4)  3 Tb 3.17-3.38, 3 Pm 3.27-3.38
Y 0.2312 0.0000 0.9667 (multiplicity 4)  3 Pm 3.23-3.52, 1 Tb 3.24, 2 Y 3.26-3.53
Y 0.2340 0.0000 0.4893 (multiplicity 4)  3 Tb 3.22-3.24, 2 Y 3.26-3.53, 2 Pm 3.53-3.56


# 4
Compound: Ga2BiBr8
Source: Alexandria
Functional: PBE
Structure: relaxed

Calculated values
raw formation energy	-710	meV/atom

Cell lengths 12.6955, 9.9966, 7.6702 Å; angles 90.00, 93.80, 90.00 degrees
With the nearest neighbours (Å) after each atom.
Space group C2/m (No. 12)
Symmetry-distinct sites (fractional):
Ga 0.2152 0.0000 0.1844 (multiplicity 4)  4 Br 2.31-2.45
Bi 0.0000 0.0000 0.5000 (multiplicity 2)  4 Br 2.92
Br 0.1137 0.5000 0.6935 (multiplicity 4)  1 Ga 2.31
Br 0.1173 0.1893 0.2975 (multiplicity 8)  1 Ga 2.45
Br 0.1937 0.0000 0.8811 (multiplicity 4)  1 Ga 2.32


# 5
Compound: Pu6NpN12
Source: Alexandria
Functional: PBE
Structure: relaxed

Calculated values
density of states at the Fermi level	93.0	states/eV/cell
raw formation energy	-1052	meV/atom

Cell lengths 9.8332, 9.8332, 9.1767 Å; angles 90.00, 90.00, 120.00 degrees
With the nearest neighbours (Å) after each atom.
Space group R-3 (No. 148, hexagonal axes)
Symmetry-distinct sites (fractional):
Pu 0.0475 0.2559 0.1553 (multiplicity 18)  6 N 2.19-2.35
Np 0.0000 0.0000 0.5000 (multiplicity 3)  6 N 2.11
N 0.0325 0.2265 0.9013 (multiplicity 18)  4 Pu 2.19-2.35
N 0.0423 0.2077 0.3946 (multiplicity 18)  1 Np 2.11, 2 Pu 2.24-2.30


# 6
Compound: DyZn6Ag2
Source: Alexandria
Functional: PBE
Structure: relaxed

Calculated values
formation enthalpy at 0 K	-97	meV per atom
density of states at the Fermi level	6.6	states/eV/cell

Cell lengths 3.5769, 7.1626, 12.7346 Å; angles 90.00, 90.00, 90.00 degrees
With the nearest neighbours (Å) after each atom.
Space group Immm (No. 71)
Symmetry-distinct sites (fractional):
Dy 0.0000 0.0000 0.0000 (multiplicity 2)  12 Zn 2.94-3.22
Zn 0.0000 0.1736 0.5000 (multiplicity 4)  3 Zn 2.49-2.52, 4 Ag 2.76
Zn 0.0000 0.3131 0.3184 (multiplicity 8)  4 Zn 2.52-2.68, 1 Ag 2.71
Ag 0.0000 0.5000 0.1332 (multiplicity 4)  10 Zn 2.71-2.93


# 7
Compound: Cd2NiB
Source: Alexandria
Functional: PBE
Structure: relaxed

Calculated values
formation enthalpy at 0 K	809	meV per atom
density of states at the Fermi level	6.5	states/eV/cell
polymorph energy (0 for the lowest one)	432.3	meV per atom

Cell lengths 6.2121, 6.2121, 6.2121 Å; angles 90.00, 90.00, 90.00 degrees
With the nearest neighbours (Å) after each atom.
Space group Fm-3m (No. 225)
Symmetry-distinct sites (fractional):
Cd 0.2500 0.2500 0.2500 (multiplicity 8)  4 Ni 2.69, 4 B 2.69
Ni 0.0000 0.0000 0.0000 (multiplicity 4)  8 Cd 2.69
B 0.0000 0.0000 0.5000 (multiplicity 4)  8 Cd 2.69


# 8
Compound: Tb2ZnRe
Source: Alexandria
Functional: PBE
Structure: relaxed

Calculated values
formation enthalpy at 0 K	700	meV per atom
density of states at the Fermi level	17.8	states/eV/cell

Cell lengths 3.0852, 3.0852, 31.9924 Å; angles 90.00, 90.00, 120.00 degrees
With the nearest neighbours (Å) after each atom.
Space group R-3m (No. 166, hexagonal axes)
Symmetry-distinct sites (fractional):
Tb 0.0000 0.0000 0.0873 (multiplicity 6)  1 Re 2.79, 6 Tb 3.09, 3 Zn 3.10
Zn 0.0000 0.0000 0.5000 (multiplicity 3)  6 Zn 3.09, 6 Tb 3.10
Re 0.0000 0.0000 0.0000 (multiplicity 3)  2 Tb 2.79, 6 Re 3.09


# 9
Compound: Ag2PCl
Source: Alexandria
Functional: PBE
Structure: relaxed

Calculated values
density of states at the Fermi level	6.3	states/eV/cell
polymorph energy (0 for the lowest one)	181.0	meV per atom
raw formation energy	204	meV/atom

Cell lengths 3.8932, 3.8932, 20.2201 Å; angles 90.00, 90.00, 120.00 degrees
With the nearest neighbours (Å) after each atom.
Space group R3m (No. 160, hexagonal axes)
Symmetry-distinct sites (fractional):
Ag 0.0000 0.0000 0.0000 (multiplicity 3)  3 Cl 2.63, 3 Ag 2.84
Ag 0.0000 0.0000 0.2477 (multiplicity 3)  3 P 2.43
P 0.0000 0.0000 0.5360 (multiplicity 3)  3 Ag 2.43
Cl 0.0000 0.0000 0.7344 (multiplicity 3)  3 Ag 2.63


# 10
Compound: Be2HS2
Source: Alexandria
Functional: PBE
Structure: relaxed

Calculated values
density of states at the Fermi level	2.2	states/eV/cell
polymorph energy (0 for the lowest one)	629.1	meV per atom

Cell lengths 6.1924, 6.1924, 3.1259 Å; angles 90.00, 90.00, 90.00 degrees
With the nearest neighbours (Å) after each atom.
Space group P4/mbm (No. 127)
Symmetry-distinct sites (fractional):
Be 0.1405 0.3595 0.0000 (multiplicity 4)  2 S 2.11
H 0.0000 0.0000 0.5000 (multiplicity 2)  4 S 2.24
S 0.1978 0.6978 0.5000 (multiplicity 4)  2 Be 2.11, 2 H 2.24


# 11
Compound: Sr3H7Pd2
Source: Alexandria
Functional: PBE
Structure: relaxed

Calculated values
density of states at the Fermi level	1.5	states/eV/cell
E_tot	-3.701	eV/atom

Cell lengths 3.7396, 23.4864, 3.6363 Å; angles 90.00, 90.00, 90.00 degrees
With the nearest neighbours (Å) after each atom.
Space group Cmmm (No. 65)
Symmetry-distinct sites (fractional):
Sr 0.0000 0.0000 0.0000 (multiplicity 2)  12 H 2.61-2.86
Sr 0.0000 0.1732 0.0000 (multiplicity 4)  8 H 2.66-2.72
H 0.0000 0.0906 0.5000 (multiplicity 4)  2 Pd 1.88
H 0.0000 0.2943 0.5000 (multiplicity 4)  4 Sr 2.72, 2 H 2.80, 1 Pd 2.86
H 0.0000 0.4080 0.0000 (multiplicity 4)  2 Pd 1.83
H 0.0000 0.5000 0.5000 (multiplicity 2)  2 Pd 1.97
Pd 0.0000 0.4160 0.5000 (multiplicity 4)  5 H 1.83-1.97